Here is crystalline CsScVBr6 at its relaxed geometry from Alexandria. Energies are from PBE.

The structure in POSCAR format:
```
CsScVBr6
1.0
6.866 0.000 0.000
-3.433 5.946 0.000
0.000 0.000 8.328
Cs Sc V Br
1 1 1 6
Cartesian
0.000 0.000 0.000
0.000 3.964 4.164
3.433 1.982 4.164
2.525 0.021 2.640
1.281 2.176 5.688
4.341 0.021 5.688
2.189 3.749 2.640
5.586 2.176 2.640
4.678 3.749 5.688
```

Output
Formation energy (no corrections) = -1444 meV per atom
Symmetry = P312